The following is a GGA-PBE calculation of an optimized crystal structure of Y2FeHg, from Alexandria.

It has space group C2/m (No. 12), with a = 6.5536 Å, b = 3.6908 Å, c = 8.4676 Å, α = 90.00°, β = 104.05° and γ = 90.00°. The asymmetric unit holds Y at (0.2370, 0.0000, 0.2095), Fe at (0.0000, 0.5000, 0.0000) and Hg at (0.0000, 0.0000, 0.5000).

As for the formation energy: 0.00 eV/atom. For the density of states at the Fermi level, the calculation gives 7.43 states/eV per cell. For the density, the calculation gives 7.26 g/cm³.